The following is a GGA-PBE calculation of a relaxed structure of PrSm3Er6Sc2, from the Alexandria database.

extended XYZ file:
```
12
Lattice="3.043 -5.269 0.000 3.043 5.269 0.000 -2.022 0.000 11.470" Properties=species:S:1:pos:R:3 pbc="T T T"
Pr 0.000 0.000 0.000
Sm 2.032 3.508 5.735
Sm 2.032 0.000 5.735
Sm 2.032 -3.508 5.735
Er 1.028 1.771 2.809
Er 0.022 0.000 8.660
Er 1.028 -1.771 2.809
Er 3.037 1.771 8.661
Er 4.043 0.000 2.810
Er 3.037 -1.771 8.661
Sc 3.043 1.758 0.000
Sc 3.043 -1.758 0.000
```

Values from the calculation:
Symmetry = C2/m (12)
Size of the total moment = 0.000 μB/atom
Formation enthalpy at 0 K = 0.04 eV per atom